This record from Alexandria describes Tl4AgTe after structural relaxation. The functional is GGA-PBE.

```
Tl4AgTe
1.0
0.000 4.562 4.562
4.562 0.000 4.562
4.562 4.562 0.000
Tl Ag Te
4 1 1
Direct
0.125 0.125 0.125
0.125 0.125 0.625
0.125 0.625 0.125
0.625 0.125 0.125
0.750 0.750 0.750
0.500 0.500 0.500
```

- total magnetic moment (μB per formula unit) = 0.00
- calculated density (Mg/m³) = 9.2
- DOS at the Fermi energy (states/eV per cell) = 2.6
- ΔE_f (raw) (meV/atom) = 200
- SG = F-43m, No. 216
- VASP energy (eV per atom) = -2.377

---

This record from Alexandria describes NdLuScIn after structural relaxation. The functional is GGA-PBE.

```
NdLuScIn
1.0
7.564 0.000 0.000
0.000 7.564 0.000
0.000 0.000 7.564
Nd Lu Sc In
4 4 4 4
Direct
0.000 0.000 0.000
0.000 0.500 0.500
0.500 0.000 0.500
0.500 0.500 0.000
0.250 0.250 0.250
0.250 0.750 0.750
0.750 0.250 0.750
0.750 0.750 0.250
0.000 0.000 0.500
0.000 0.500 0.000
0.500 0.000 0.000
0.500 0.500 0.500
0.250 0.250 0.750
0.250 0.750 0.250
0.750 0.250 0.250
0.750 0.750 0.750
```

- total magnetic moment (μB per formula unit) = 0.02
- calculated density (Mg/m³) = 7.4
- DOS at the Fermi energy (states/eV per cell) = 26.7
- SG = F-43m, No. 216
- VASP energy (eV per atom) = -4.727

---

This record from Alexandria describes Zn2PIr after structural relaxation. The functional is GGA-PBE.

```
Zn2PIr
1.0
2.883 0.000 0.000
-1.442 2.497 0.000
0.000 0.000 24.781
Zn P Ir
6 3 3
Direct
0.000 0.000 0.248
0.000 0.000 0.752
0.333 0.667 0.418
0.333 0.667 0.915
0.667 0.333 0.085
0.667 0.333 0.582
0.000 0.000 0.000
0.333 0.667 0.667
0.667 0.333 0.333
0.000 0.000 0.500
0.333 0.667 0.167
0.667 0.333 0.833
```

- total magnetic moment (μB per formula unit) = 0.00
- calculated density (Mg/m³) = 9.9
- DOS at the Fermi energy (states/eV per cell) = 7.1
- SG = R-3m, No. 166
- VASP energy (eV per atom) = -4.082

---

This record from Alexandria describes TbCeLuHf after structural relaxation. The functional is GGA-PBE.

```
TbCeLuHf
1.0
7.630 0.000 0.000
0.000 7.630 0.000
0.000 0.000 7.630
Tb Ce Lu Hf
4 4 4 4
Direct
0.000 0.000 0.000
0.000 0.500 0.500
0.500 0.000 0.500
0.500 0.500 0.000
0.000 0.000 0.500
0.000 0.500 0.000
0.500 0.000 0.000
0.500 0.500 0.500
0.250 0.250 0.250
0.250 0.750 0.750
0.750 0.250 0.750
0.750 0.750 0.250
0.250 0.250 0.750
0.250 0.750 0.250
0.750 0.250 0.250
0.750 0.750 0.750
```

- total magnetic moment (μB per formula unit) = 0.02
- calculated density (Mg/m³) = 9.8
- DOS at the Fermi energy (states/eV per cell) = 31.7
- SG = F-43m, No. 216
- VASP energy (eV per atom) = -6.026

---

This record from Alexandria describes Si2HgRu after structural relaxation. The functional is GGA-PBE.

```
Si2HgRu
1.0
2.894 0.000 0.000
0.000 2.968 0.000
-0.031 0.000 7.952
Si Hg Ru
2 1 1
Direct
0.002 0.000 0.185
0.998 0.000 0.815
0.000 0.500 0.500
0.500 0.500 0.000
```

- total magnetic moment (μB per formula unit) = 0.00
- calculated density (Mg/m³) = 8.7
- DOS at the Fermi energy (states/eV per cell) = 1.9
- ΔE_f (raw) (meV/atom) = -36
- SG = P2/m, No. 10
- VASP energy (eV per atom) = -5.142

---

This record from Alexandria describes SrNbCu2Pt after structural relaxation. The functional is GGA-PBE.

```
SrNbCu2Pt
1.0
4.720 0.000 0.000
0.000 4.720 0.000
0.000 0.000 5.767
Sr Nb Cu Pt
1 1 2 1
Direct
0.000 0.000 0.000
0.000 0.000 0.500
0.000 0.500 0.500
0.500 0.000 0.500
0.500 0.500 0.000
```

- total magnetic moment (μB per formula unit) = 0.00
- calculated density (Mg/m³) = 6.5
- DOS at the Fermi energy (states/eV per cell) = 4.6
- SG = P4/mmm, No. 123
- VASP energy (eV per atom) = -3.806